Entry 1:
A plane-wave DFT calculation with PBE was carried out for an optimized crystal structure of V4H6Rh7.

Lattice parameters (Å, degrees): 6.4935 6.4930 6.4932 130.57 99.91 100.23
Site moments in Bohr magnetons follow the coordinates.
Sites, in units of the cell vectors:
Rh (0.4997, 0.7547, 0.2549)  -0.05
H (0.3576, 0.0000, 0.3576)  0.00
V (0.5000, 0.5000, 0.5000)  0.77
V (0.5000, 0.0000, 0.0000)  0.83
Rh (0.0000, 0.0000, 0.0000)  0.05
Rh (0.7882, 0.2946, 0.5064)  -0.07
Rh (0.5003, 0.2453, 0.7451)  -0.05
V (0.0000, 0.5000, 0.0000)  0.77
Rh (0.7759, 0.5000, 0.2759)  -0.09
V (0.0000, 0.0000, 0.5000)  0.83
H (0.8236, 0.0004, 0.1769)  0.00
H (0.6424, 0.0000, 0.6424)  0.00
H (0.6293, 0.6180, 0.9888)  0.00
Rh (0.2118, 0.7054, 0.4936)  -0.07
H (0.1764, 0.9996, 0.8231)  0.00
H (0.3707, 0.3820, 0.0112)  0.00
Rh (0.2241, 0.5000, 0.7241)  -0.09

Calculated values
DFT total energy: -6.15 eV/atom

=====

Entry 2:
A plane-wave DFT calculation with PBE was carried out for an optimized crystal structure of VH3Rh.

Lattice parameters (Å, degrees): 5.3583 5.0875 5.3583 89.98 102.27 90.02
Sites, in units of the cell vectors:
Rh (0.6782, 0.1078, 0.1778)
H (0.4781, 0.4128, 0.2965)
H (0.7962, 0.4126, 0.9780)
V (0.6548, 0.2500, 0.6548)
H (0.9780, 0.0874, 0.7962)
Rh (0.3218, 0.8922, 0.8222)
V (0.1553, 0.2500, 0.1553)
H (0.5753, 0.7652, 0.0751)
H (0.5219, 0.5872, 0.7035)
H (0.2038, 0.5874, 0.0220)
V (0.8447, 0.7500, 0.8447)
V (0.3452, 0.7500, 0.3452)
H (0.0220, 0.9126, 0.2038)
Rh (0.1778, 0.3922, 0.6782)
Rh (0.8222, 0.6078, 0.3218)
H (0.0751, 0.7348, 0.5753)
H (0.2965, 0.0872, 0.4781)
H (0.4247, 0.2348, 0.9249)
H (0.9249, 0.2652, 0.4247)
H (0.7035, 0.9128, 0.5219)

Calculated values
DFT total energy: -5.38 eV/atom

=====

Entry 3:
A plane-wave DFT calculation with PBE was carried out for an optimized crystal structure of V3H12Rh5.

Lattice parameters (Å, degrees): 9.3134 9.3134 9.3134 109.47 109.47 109.47
Site moments in Bohr magnetons follow the coordinates.
Sites, in units of the cell vectors:
H (0.3325, 0.7807, 0.4156)  -0.01
Rh (0.3750, 0.1250, 0.7500)  0.24
H (0.5517, 0.2193, 0.1348)  -0.01
Rh (0.7500, 0.6250, 0.3750)  0.24
H (0.2193, 0.5517, 0.6348)  -0.01
H (0.6348, 0.5831, 0.9156)  -0.01
Rh (0.3750, 0.2500, 0.1250)  0.24
Rh (0.2500, 0.8750, 0.1250)  0.24
H (0.5844, 0.7193, 0.6675)  -0.01
H (0.8325, 0.9169, 0.0517)  -0.01
H (0.9483, 0.3652, 0.2807)  -0.01
H (0.0844, 0.1675, 0.2193)  -0.01
H (0.9483, 0.5831, 0.1675)  -0.01
H (0.5831, 0.6348, 0.4156)  -0.01
H (0.9156, 0.8325, 0.7807)  -0.01
H (0.0517, 0.6348, 0.7193)  -0.01
H (0.9169, 0.8325, 0.5517)  -0.01
H (0.5844, 0.8652, 0.4169)  -0.01
H (0.6675, 0.4483, 0.5831)  -0.01
H (0.2193, 0.6675, 0.0844)  -0.01
V (0.3750, 0.7500, 0.6250)  1.81
H (0.8652, 0.2807, 0.4483)  -0.01
H (0.7193, 0.1348, 0.0517)  -0.01
Rh (0.6250, 0.8750, 0.2500)  0.24
Rh (0.1250, 0.7500, 0.3750)  0.24
Rh (0.0000, 0.5000, 0.5000)  0.29
H (0.5517, 0.3325, 0.9169)  -0.01
V (0.2500, 0.6250, 0.8750)  1.81
H (0.0831, 0.9156, 0.1348)  -0.01
V (0.6250, 0.3750, 0.7500)  1.81
H (0.1675, 0.0844, 0.7193)  -0.01
H (0.6675, 0.2193, 0.5844)  -0.01
H (0.0831, 0.1675, 0.4483)  -0.01
Rh (0.5000, 0.0000, 0.5000)  0.29
H (0.9156, 0.0831, 0.6348)  -0.01
V (0.1250, 0.2500, 0.8750)  1.81
H (0.1348, 0.7193, 0.5517)  -0.01
V (0.3750, 0.6250, 0.2500)  1.81
H (0.4169, 0.3652, 0.5844)  -0.01
Rh (0.5000, 0.5000, 0.5000)  0.29
V (0.7500, 0.8750, 0.6250)  1.81
H (0.4483, 0.7807, 0.8652)  -0.01
H (0.1348, 0.4156, 0.0831)  -0.01
H (0.4483, 0.6675, 0.0831)  -0.01
Rh (0.0000, 0.0000, 0.5000)  0.29
H (0.3325, 0.5517, 0.4169)  -0.01
H (0.3652, 0.4169, 0.0844)  -0.01
Rh (0.0000, 0.5000, 0.0000)  0.29
H (0.8652, 0.5844, 0.9169)  -0.01
H (0.0517, 0.4169, 0.8325)  -0.01
Rh (0.6250, 0.7500, 0.8750)  0.24
H (0.0844, 0.9169, 0.3652)  -0.01
H (0.5831, 0.9483, 0.6675)  -0.01
H (0.7193, 0.5844, 0.1675)  -0.01
H (0.7807, 0.4483, 0.3652)  -0.01
V (0.2500, 0.1250, 0.3750)  1.81
Rh (0.5000, 0.5000, 0.0000)  0.29
H (0.8325, 0.9156, 0.2807)  -0.01
H (0.2807, 0.4156, 0.8325)  -0.01
Rh (0.2500, 0.3750, 0.6250)  0.24
V (0.8750, 0.1250, 0.2500)  1.81
H (0.1675, 0.0831, 0.9483)  -0.01
H (0.4169, 0.0517, 0.3325)  -0.01
H (0.2807, 0.8652, 0.9483)  -0.01
H (0.6348, 0.0517, 0.2193)  -0.01
H (0.4156, 0.2807, 0.3325)  -0.01
Rh (0.8750, 0.6250, 0.7500)  0.24
V (0.6250, 0.2500, 0.3750)  1.81
Rh (0.5000, 0.0000, 0.0000)  0.29
Rh (0.8750, 0.2500, 0.6250)  0.24
H (0.4156, 0.1348, 0.5831)  -0.01
H (0.7807, 0.3325, 0.9156)  -0.01
H (0.3652, 0.9483, 0.7807)  -0.01
Rh (0.1250, 0.3750, 0.2500)  0.24
V (0.7500, 0.3750, 0.1250)  1.81
V (0.1250, 0.8750, 0.7500)  1.81
Rh (0.7500, 0.1250, 0.8750)  0.24
V (0.8750, 0.7500, 0.1250)  1.81
Rh (0.0000, 0.0000, 0.0000)  0.29
H (0.9169, 0.0844, 0.8652)  -0.01

Calculated values
DFT total energy: -5.21 eV/atom

=====

Entry 4:
A plane-wave DFT calculation with PBE was carried out for an optimized crystal structure of V2H2Rh3.

Lattice parameters (Å, degrees): 2.7611 4.1415 7.1145 106.92 101.19 90.00
Sites, in units of the cell vectors:
Rh (0.6901, 0.1901, 0.3803)
H (0.5523, 0.5523, 0.1046)
V (0.1240, 0.6240, 0.2479)
H (0.4477, 0.4477, 0.8954)
Rh (0.3099, 0.8099, 0.6197)
Rh (0.0000, 0.0000, 0.0000)
V (0.8760, 0.3760, 0.7521)

Calculated values
DFT total energy: -6.74 eV/atom

=====

Entry 5:
A plane-wave DFT calculation with PBE was carried out for an optimized crystal structure of VH12Rh7.

Lattice parameters (Å, degrees): 6.8294 6.8294 6.8294 114.66 114.66 114.66
Sites, in units of the cell vectors:
Rh (0.5000, 0.5000, 0.5000)
H (0.2502, 0.2057, 0.7238)
Rh (0.0819, 0.6496, 0.9199)
Rh (0.0801, 0.9181, 0.3504)
H (0.4264, 0.1745, 0.2361)
Rh (0.3505, 0.0801, 0.9181)
H (0.7943, 0.2762, 0.7498)
H (0.2361, 0.4264, 0.1745)
H (0.2057, 0.7238, 0.2502)
H (0.8255, 0.7639, 0.5736)
H (0.7639, 0.5736, 0.8255)
H (0.1745, 0.2361, 0.4264)
Rh (0.9181, 0.3504, 0.0801)
H (0.7498, 0.7943, 0.2762)
H (0.7238, 0.2502, 0.2057)
V (0.0000, 0.0000, 0.0000)
H (0.2762, 0.7498, 0.7943)
H (0.5736, 0.8255, 0.7639)
Rh (0.6495, 0.9199, 0.0819)
Rh (0.9199, 0.0819, 0.6496)

Calculated values
DFT total energy: -4.89 eV/atom

=====

Entry 6:
A plane-wave DFT calculation with PBE was carried out for an optimized crystal structure of VH2Rh.

Lattice parameters (Å, degrees): 2.8172 2.8172 4.8404 73.08 73.08 60.00
Sites, in units of the cell vectors:
H (0.2404, 0.2404, 0.2788)
Rh (0.0000, 0.0000, 0.0000)
V (0.5000, 0.5000, 0.5000)
H (0.7596, 0.7596, 0.7212)

Calculated values
polymorph energy (0 for the lowest one): 0.0000 eV per atom
DFT total energy: -6.00 eV/atom

=====

Entry 7:
A plane-wave DFT calculation with PBE was carried out for an optimized crystal structure of VH2Rh4.

Lattice parameters (Å, degrees): 5.5721 3.8566 7.3774 105.16 100.66 89.90
Sites, in units of the cell vectors:
Rh (0.1859, 0.8140, 0.1640)
V (0.2906, 0.9975, 0.5385)
V (0.8998, 0.2273, 0.9873)
Rh (0.4771, 0.4122, 0.3782)
H (0.0938, 0.1148, 0.7631)
Rh (0.5948, 0.6148, 0.7618)
H (0.5931, 0.1100, 0.7648)
Rh (0.3904, 0.2159, 0.9636)
Rh (0.0912, 0.6165, 0.7626)
Rh (0.7965, 0.0282, 0.5720)
Rh (0.7041, 0.8158, 0.1471)
Rh (0.0070, 0.4050, 0.3653)
H (0.7404, 0.6609, 0.3629)
H (0.3854, 0.7171, 0.9690)

Calculated values
DFT total energy: -6.64 eV/atom

=====

Entry 8:
A plane-wave DFT calculation with PBE was carried out for an optimized crystal structure of V4HRh2.

Lattice parameters (Å, degrees): 3.6716 3.6716 7.1119 75.04 75.04 90.00
Sites, in units of the cell vectors:
Rh (0.6456, 0.6456, 0.7088)
V (0.1785, 0.1785, 0.6429)
V (0.0000, 0.5000, 0.0000)
V (0.8215, 0.8215, 0.3571)
V (0.5000, 0.0000, 0.0000)
H (0.0000, 0.0000, 0.0000)
Rh (0.3544, 0.3544, 0.2912)

Calculated values
DFT total energy: -7.82 eV/atom

=====

Entry 9:
A plane-wave DFT calculation with PBE was carried out for an optimized crystal structure of V2HRh8.

Lattice parameters (Å, degrees): 4.4341 5.4312 6.9579 112.94 108.55 90.08
Sites, in units of the cell vectors:
Rh (0.8807, 0.1606, 0.7615)
Rh (0.4988, 0.7711, 0.0000)
V (0.6915, 0.7225, 0.3843)
Rh (0.3093, 0.8403, 0.6198)
H (0.0012, 0.0302, 0.0000)
Rh (0.6895, 0.2205, 0.3802)
V (0.3073, 0.3382, 0.6157)
Rh (0.8796, 0.6617, 0.7615)
Rh (0.1192, 0.3990, 0.2385)
Rh (0.1180, 0.9002, 0.2385)
Rh (0.5000, 0.2897, 0.0000)

Calculated values
DFT total energy: -7.45 eV/atom

=====

Entry 10:
A plane-wave DFT calculation with PBE was carried out for an optimized crystal structure of VHRh3.

Lattice parameters (Å, degrees): 3.8557 5.4789 5.4788 89.25 90.00 90.00
Site moments in Bohr magnetons follow the coordinates.
Sites, in units of the cell vectors:
V (0.0434, 0.1697, 0.8472)  0.47
Rh (0.0430, 0.6849, 0.8570)  -0.06
V (0.0434, 0.6947, 0.3725)  0.47
Rh (0.5430, 0.9329, 0.1154)  -0.09
Rh (0.5429, 0.4266, 0.6090)  -0.09
H (0.0433, 0.4241, 0.1181)  0.00
Rh (0.0430, 0.1736, 0.3684)  -0.09
Rh (0.5430, 0.9331, 0.6088)  -0.07
Rh (0.5430, 0.4269, 0.1150)  -0.05
H (0.5433, 0.6768, 0.8655)  0.00

Calculated values
polymorph energy (0 for the lowest one): 0.0000 eV per atom
DFT total energy: -7.18 eV/atom

=====

Entry 11:
A plane-wave DFT calculation with PBE was carried out for an optimized crystal structure of VH2Rh.

Lattice parameters (Å, degrees): 3.6505 3.6505 3.6505 60.00 60.00 60.00
Site moments in Bohr magnetons follow the coordinates.
Sites, in units of the cell vectors:
V (0.0000, 0.0000, 0.0000)  0.63
H (0.2500, 0.2500, 0.2500)  0.00
H (0.7500, 0.7500, 0.7500)  0.00
Rh (0.5000, 0.5000, 0.5000)  0.11

Calculated values
polymorph energy (0 for the lowest one): 0.5903 eV per atom
DFT total energy: -5.41 eV/atom

=====

Entry 12:
A plane-wave DFT calculation with PBE was carried out for an optimized crystal structure of VHRhW2.

Lattice parameters (Å, degrees): 3.9730 3.9730 3.9357 90.00 90.00 90.00
Sites, in units of the cell vectors:
W (0.5000, 0.0000, 0.0000)
Rh (0.5000, 0.5000, 0.5000)
W (0.0000, 0.5000, 0.0000)
H (0.0000, 0.0000, 0.0000)
V (0.0000, 0.0000, 0.5000)

Calculated values
DFT total energy: -9.10 eV/atom

=====

Entry 13:
A plane-wave DFT calculation with PBE was carried out for an optimized crystal structure of V2HRhW.

Lattice parameters (Å, degrees): 4.1489 4.1489 3.4642 90.00 90.00 90.00
Sites, in units of the cell vectors:
V (0.0000, 0.5000, 0.0000)
H (0.0000, 0.0000, 0.0000)
Rh (0.0000, 0.0000, 0.5000)
W (0.5000, 0.5000, 0.5000)
V (0.5000, 0.0000, 0.0000)

Calculated values
polymorph energy (0 for the lowest one): 0.0000 eV per atom
DFT total energy: -8.46 eV/atom

=====

Entry 14:
A plane-wave DFT calculation with PBE was carried out for an optimized crystal structure of VHRh2W.

Lattice parameters (Å, degrees): 3.8560 3.8560 3.9856 90.00 90.00 90.00
Sites, in units of the cell vectors:
W (0.5000, 0.5000, 0.5000)
H (0.0000, 0.0000, 0.0000)
Rh (0.0000, 0.5000, 0.0000)
Rh (0.5000, 0.0000, 0.0000)
V (0.0000, 0.0000, 0.5000)

Calculated values
polymorph energy (0 for the lowest one): 0.0000 eV per atom
DFT total energy: -8.22 eV/atom

=====

Entry 15:
A plane-wave DFT calculation with PBE was carried out for an optimized crystal structure of V2HRhW.

Lattice parameters (Å, degrees): 3.9056 3.9056 3.8960 90.00 90.00 90.00
Sites, in units of the cell vectors:
Rh (0.5000, 0.5000, 0.5000)
V (0.0000, 0.5000, 0.0000)
W (0.0000, 0.0000, 0.5000)
H (0.0000, 0.0000, 0.0000)
V (0.5000, 0.0000, 0.0000)

Calculated values
polymorph energy (0 for the lowest one): 0.0365 eV per atom
DFT total energy: -8.42 eV/atom

=====

Entry 16:
A plane-wave DFT calculation with PBE was carried out for an optimized crystal structure of VHRh2W.

Lattice parameters (Å, degrees): 3.8552 3.8552 4.0225 90.00 90.00 90.00
Sites, in units of the cell vectors:
W (0.0000, 0.0000, 0.5000)
H (0.0000, 0.0000, 0.0000)
Rh (0.0000, 0.5000, 0.0000)
Rh (0.5000, 0.0000, 0.0000)
V (0.5000, 0.5000, 0.5000)

Calculated values
polymorph energy (0 for the lowest one): 0.0557 eV per atom
DFT total energy: -8.16 eV/atom

=====

Entry 17:
A plane-wave DFT calculation with PBE was carried out for an optimized crystal structure of YVH2Rh.

Lattice parameters (Å, degrees): 3.8815 4.7761 3.8815 90.00 90.00 90.00
Site moments in Bohr magnetons follow the coordinates.
Sites, in units of the cell vectors:
Y (0.5000, 0.5000, 0.5000)  0.04
V (0.0000, 0.0000, 0.0000)  1.69
H (0.5000, 0.0000, 0.0000)  -0.01
Rh (0.0000, 0.5000, 0.0000)  -0.02
H (0.0000, 0.0000, 0.5000)  -0.02

Calculated values
DFT total energy: -5.93 eV/atom

=====

Entry 18:
A plane-wave DFT calculation with PBE was carried out for an optimized crystal structure of ZrVH2Rh.

Lattice parameters (Å, degrees): 3.6261 5.4178 3.6261 90.00 90.00 90.00
Site moments in Bohr magnetons follow the coordinates.
Sites, in units of the cell vectors:
Rh (0.5000, 0.5000, 0.5000)  0.06
H (0.0000, 0.0000, 0.5000)  -0.02
H (0.5000, 0.0000, 0.0000)  -0.01
V (0.0000, 0.0000, 0.0000)  1.69
Zr (0.0000, 0.5000, 0.0000)  0.01

Calculated values
DFT total energy: -5.83 eV/atom

=====

Entry 19:
A plane-wave DFT calculation with PBE was carried out for an optimized crystal structure of ZrV2HRh.

Lattice parameters (Å, degrees): 3.7690 3.7690 4.6361 90.00 90.00 90.00
Sites, in units of the cell vectors:
V (0.0000, 0.5000, 0.0000)
H (0.0000, 0.0000, 0.0000)
V (0.5000, 0.0000, 0.0000)
Zr (0.0000, 0.0000, 0.5000)
Rh (0.5000, 0.5000, 0.5000)

Calculated values
DFT total energy: -7.69 eV/atom

=====

Entry 20:
A plane-wave DFT calculation with PBE was carried out for an optimized crystal structure of Zr2VHRh.

Lattice parameters (Å, degrees): 4.6003 4.6003 3.6013 90.00 90.00 90.00
Site moments in Bohr magnetons follow the coordinates.
Sites, in units of the cell vectors:
Zr (0.0000, 0.5000, 0.0000)  0.00
H (0.0000, 0.0000, 0.0000)  0.00
Zr (0.5000, 0.0000, 0.0000)  0.00
V (0.5000, 0.5000, 0.5000)  1.67
Rh (0.0000, 0.0000, 0.5000)  0.01

Calculated values
polymorph energy (0 for the lowest one): 0.0851 eV per atom
DFT total energy: -7.66 eV/atom